(1)
# Hf2ScIn2

An optimized crystal structure of Hf2ScIn2 (PBE, Alexandria via LeMat-Bulk). Values from VASP.

Cell and atoms, written as Quantum ESPRESSO input:
```
&SYSTEM
  ibrav = 0, nat = 5, ntyp = 3
/
ATOMIC_SPECIES
Hf 178.49 Hf.upf
In 114.82 In.upf
Sc 44.96 Sc.upf
CELL_PARAMETERS angstrom
4.140 0.000 0.000
0.000 4.140 0.000
2.070 2.070 6.991
ATOMIC_POSITIONS crystal
Hf 0.250 0.750 0.500
In 0.597 0.597 0.806
Sc 0.000 0.000 0.000
Hf 0.750 0.250 0.500
In 0.403 0.403 0.194
```

Values from the calculation:
DOS at the Fermi energy (states/eV per cell): 4.8
E above lowest polymorph (eV/atom): 0.170
E_form (meV/atom): 44

=====

(2)
# HfSc3In

An optimized crystal structure of HfSc3In (PBE, Alexandria via LeMat-Bulk). Values from VASP.

Cell and atoms, written as Quantum ESPRESSO input:
```
&SYSTEM
  ibrav = 0, nat = 5, ntyp = 3
/
ATOMIC_SPECIES
In 114.82 In.upf
Sc 44.96 Sc.upf
Hf 178.49 Hf.upf
CELL_PARAMETERS angstrom
-1.814 -4.710 1.229
3.395 -2.164 -3.282
3.488 -0.343 3.834
ATOMIC_POSITIONS crystal
In 0.500 0.500 0.500
Sc 0.000 0.500 0.000
Sc 0.500 0.000 0.000
Sc 0.000 0.000 0.500
Hf 0.000 0.000 0.000
```

Values from the calculation:
DOS at the Fermi energy (states/eV per cell): 5.5
E above lowest polymorph (eV/atom): 0.875
E_form (meV/atom): 694